Crystalline NbFe4Ge at its relaxed geometry. Source: Alexandria, functional GGA-PBE.

Summary:
space-group type = Pmma (51)
DFT formation energy = 0.002 eV/atom

Geometry as POSCAR:
```
NbFe4Ge
1.0
7.8780 0.0000 0.0000
0.0000 3.0398 0.0000
0.0000 0.0000 6.6432
Nb Fe Ge
2 8 2
Cartesian
1.9695 0.0000 0.8233
5.9085 0.0000 5.8199
0.0000 0.0000 3.3216
0.1886 1.5199 5.4574
1.9695 1.5199 2.9324
3.7504 1.5199 5.4574
3.9390 0.0000 3.3216
4.1276 1.5199 1.1859
5.9085 1.5199 3.7108
7.6895 1.5199 1.1859
1.9695 0.0000 4.8153
5.9085 0.0000 1.8279
```

Crystalline NbFe2Ge at its relaxed geometry. Source: Alexandria, functional GGA-PBE.

Summary:
space-group type = P2/m (10)
DFT formation energy = -0.012 eV/atom

Geometry as POSCAR:
```
NbFe2Ge
1.0
2.7485 0.0000 0.0000
0.0000 4.3163 0.0000
-0.1948 0.0000 4.8234
Nb Fe Ge
1 2 1
Cartesian
0.0000 0.0000 0.0000
0.7858 2.1581 3.6260
1.7679 2.1581 1.1974
1.2768 0.0000 2.4117
```

Please write out number 1 again, unchanged.
Crystalline NbFe4Ge at its relaxed geometry. Source: Alexandria, functional GGA-PBE.

Summary:
space-group type = Pmma (51)
DFT formation energy = 0.002 eV/atom

Geometry as POSCAR:
```
NbFe4Ge
1.0
7.8780 0.0000 0.0000
0.0000 3.0398 0.0000
0.0000 0.0000 6.6432
Nb Fe Ge
2 8 2
Cartesian
1.9695 0.0000 0.8233
5.9085 0.0000 5.8199
0.0000 0.0000 3.3216
0.1886 1.5199 5.4574
1.9695 1.5199 2.9324
3.7504 1.5199 5.4574
3.9390 0.0000 3.3216
4.1276 1.5199 1.1859
5.9085 1.5199 3.7108
7.6895 1.5199 1.1859
1.9695 0.0000 4.8153
5.9085 0.0000 1.8279
```

> The highest DFT formation energy belongs to which entry?

NbFe4Ge

> DFT formation energy of number 1 (NbFe4Ge)?

0.002 eV/atom

> Which of these has the lowest DFT formation energy?

NbFe2Ge